# Ca2GaPtI (SCAN, single point on PBEsol structure)
# formation energy from raw total energies = 0.11 eV/atom
# crystal system = tetragonal
data_Ca2GaPtI
_symmetry_space_group_name_H-M 'P 4/m m m'
_symmetry_Int_Tables_number 123
_symmetry_space_group_name_Hall '-P 4 2'
_cell_length_a 5.695
_cell_length_b 5.695
_cell_length_c 4.977
_cell_angle_alpha 90.00
_cell_angle_beta 90.00
_cell_angle_gamma 90.00
loop_
_atom_site_label
_atom_site_type_symbol
_atom_site_fract_x
_atom_site_fract_y
_atom_site_fract_z
Ca1 Ca 0.000 0.500 0.000
Ga1 Ga 0.000 0.000 0.500
Pt1 Pt 0.500 0.500 0.500
I1 I 0.500 0.500 0.000


# BeFeCu2 (SCAN, single point on PBEsol structure)
# formation energy = -0.079 eV/atom
# crystal system = tetragonal
data_BeFeCu2
_symmetry_space_group_name_H-M 'P 4 m m'
_symmetry_Int_Tables_number 99
_symmetry_space_group_name_Hall 'P 4 -2'
_cell_length_a 2.496
_cell_length_b 2.496
_cell_length_c 6.574
_cell_angle_alpha 90.00
_cell_angle_beta 90.00
_cell_angle_gamma 90.00
loop_
_atom_site_label
_atom_site_type_symbol
_atom_site_fract_x
_atom_site_fract_y
_atom_site_fract_z
Be1 Be 0.000 0.000 0.000
Fe1 Fe 0.500 0.500 0.775
Cu1 Cu 0.000 0.000 0.500
Cu2 Cu 0.500 0.500 0.223


# CdPt (SCAN, single point on PBEsol structure)
# formation energy = -0.358 eV/atom
# crystal system = tetragonal
data_CdPt
_symmetry_space_group_name_H-M 'P 4/m m m'
_symmetry_Int_Tables_number 123
_symmetry_space_group_name_Hall '-P 4 2'
_cell_length_a 2.939
_cell_length_b 2.939
_cell_length_c 3.854
_cell_angle_alpha 90.00
_cell_angle_beta 90.00
_cell_angle_gamma 90.00
loop_
_atom_site_label
_atom_site_type_symbol
_atom_site_fract_x
_atom_site_fract_y
_atom_site_fract_z
Cd1 Cd 0.000 0.000 0.000
Pt1 Pt 0.500 0.500 0.500


# K3ZnH5 (SCAN, single point on PBEsol structure)
# energy = -6.522 eV per atom
# crystal system = tetragonal
data_K3ZnH5
_symmetry_space_group_name_H-M 'I 4/m c m'
_symmetry_Int_Tables_number 140
_symmetry_space_group_name_Hall '-I 4 2c'
_cell_length_a 7.327
_cell_length_b 7.327
_cell_length_c 10.966
_cell_angle_alpha 90.00
_cell_angle_beta 90.00
_cell_angle_gamma 90.00
loop_
_atom_site_label
_atom_site_type_symbol
_atom_site_fract_x
_atom_site_fract_y
_atom_site_fract_z
K1 K 0.000 0.000 0.250
K2 K 0.178 0.322 0.000
Zn1 Zn 0.000 0.500 0.250
H1 H 0.000 0.000 0.000
H2 H 0.127 0.373 0.339


# SrAs2Ru2 (SCAN, single point on PBEsol structure)
# formation energy = -0.800 eV/atom
# crystal system = tetragonal
data_SrAs2Ru2
_symmetry_space_group_name_H-M 'I 4/m m m'
_symmetry_Int_Tables_number 139
_symmetry_space_group_name_Hall '-I 4 2'
_cell_length_a 4.169
_cell_length_b 4.169
_cell_length_c 10.945
_cell_angle_alpha 90.00
_cell_angle_beta 90.00
_cell_angle_gamma 90.00
loop_
_atom_site_label
_atom_site_type_symbol
_atom_site_fract_x
_atom_site_fract_y
_atom_site_fract_z
Sr1 Sr 0.000 0.000 0.000
As1 As 0.000 0.000 0.361
Ru1 Ru 0.000 0.500 0.250


# Al2Si (SCAN, single point on PBEsol structure)
# formation energy from raw total energies = 0.19 eV/atom
# crystal system = tetragonal
data_Al2Si
_symmetry_space_group_name_H-M 'I 4/m m m'
_symmetry_Int_Tables_number 139
_symmetry_space_group_name_Hall '-I 4 2'
_cell_length_a 2.789
_cell_length_b 2.789
_cell_length_c 11.821
_cell_angle_alpha 90.00
_cell_angle_beta 90.00
_cell_angle_gamma 90.00
loop_
_atom_site_label
_atom_site_type_symbol
_atom_site_fract_x
_atom_site_fract_y
_atom_site_fract_z
Al1 Al 0.000 0.000 0.165
Si1 Si 0.000 0.000 0.500


# KReAs2 (SCAN, single point on PBEsol structure)
# formation energy = -0.024 eV/atom
# crystal system = orthorhombic
data_KReAs2
_symmetry_space_group_name_H-M 'I m m 2'
_symmetry_Int_Tables_number 44
_symmetry_space_group_name_Hall 'I 2 -2'
_cell_length_a 3.151
_cell_length_b 3.283
_cell_length_c 16.197
_cell_angle_alpha 90.00
_cell_angle_beta 90.00
_cell_angle_gamma 90.00
loop_
_atom_site_label
_atom_site_type_symbol
_atom_site_fract_x
_atom_site_fract_y
_atom_site_fract_z
K1 K 0.000 0.000 0.000
Re1 Re 0.000 0.500 0.742
As1 As 0.000 0.000 0.358
As2 As 0.000 0.500 0.168


# Sr7Li (SCAN, single point on PBEsol structure)
# formation energy = 0.057 eV/atom
# crystal system = cubic
data_Sr7Li
_symmetry_space_group_name_H-M 'F m -3 m'
_symmetry_Int_Tables_number 225
_symmetry_space_group_name_Hall '-F 4 2 3'
_cell_length_a 11.621
_cell_length_b 11.621
_cell_length_c 11.621
_cell_angle_alpha 90.00
_cell_angle_beta 90.00
_cell_angle_gamma 90.00
loop_
_atom_site_label
_atom_site_type_symbol
_atom_site_fract_x
_atom_site_fract_y
_atom_site_fract_z
Sr1 Sr 0.000 0.000 0.000
Sr2 Sr 0.000 0.250 0.250
Li1 Li 0.000 0.000 0.500


# Li2FeBS (SCAN, single point on PBEsol structure)
# formation energy from raw total energies = 0.11 eV/atom
# crystal system = tetragonal
data_Li2FeBS
_symmetry_space_group_name_H-M 'P 4/m m m'
_symmetry_Int_Tables_number 123
_symmetry_space_group_name_Hall '-P 4 2'
_cell_length_a 4.067
_cell_length_b 4.067
_cell_length_c 3.734
_cell_angle_alpha 90.00
_cell_angle_beta 90.00
_cell_angle_gamma 90.00
loop_
_atom_site_label
_atom_site_type_symbol
_atom_site_fract_x
_atom_site_fract_y
_atom_site_fract_z
Li1 Li 0.000 0.500 0.000
Fe1 Fe 0.000 0.000 0.500
B1 B 0.000 0.000 0.000
S1 S 0.500 0.500 0.500


# Mo2P (SCAN, single point on PBEsol structure)
# formation energy = 0.075 eV/atom
# crystal system = hexagonal
data_Mo2P
_symmetry_space_group_name_H-M 'P 63/m m c'
_symmetry_Int_Tables_number 194
_symmetry_space_group_name_Hall '-P 6c 2c'
_cell_length_a 4.3690
_cell_length_b 4.3690
_cell_length_c 5.0339
_cell_angle_alpha 90.00
_cell_angle_beta 90.00
_cell_angle_gamma 120.00
loop_
_atom_site_label
_atom_site_type_symbol
_atom_site_fract_x
_atom_site_fract_y
_atom_site_fract_z
Mo1 Mo 0.0000 0.0000 0.0000
Mo2 Mo 0.3333 0.6667 0.2500
P1 P 0.3333 0.6667 0.7500


# Tm2ReC2 (SCAN, single point on PBEsol structure)
# formation energy = -0.573 eV/atom
# crystal system = orthorhombic
data_Tm2ReC2
_symmetry_space_group_name_H-M 'P n m a'
_symmetry_Int_Tables_number 62
_symmetry_space_group_name_Hall '-P 2ac 2n'
_cell_length_a 6.445
_cell_length_b 4.968
_cell_length_c 9.626
_cell_angle_alpha 90.00
_cell_angle_beta 90.00
_cell_angle_gamma 90.00
loop_
_atom_site_label
_atom_site_type_symbol
_atom_site_fract_x
_atom_site_fract_y
_atom_site_fract_z
Tm1 Tm 0.035 0.250 0.216
Tm2 Tm 0.176 0.250 0.558
Re1 Re 0.214 0.250 0.870
C1 C 0.053 0.750 0.241
C2 C 0.171 0.750 0.555


# CrSb2W (SCAN, single point on PBEsol structure)
# formation energy from raw total energies = 0.52 eV/atom
# crystal system = monoclinic
data_CrSb2W
_symmetry_space_group_name_H-M 'C 1 m 1'
_symmetry_Int_Tables_number 8
_symmetry_space_group_name_Hall 'C -2y'
_cell_length_a 9.473
_cell_length_b 3.196
_cell_length_c 4.900
_cell_angle_alpha 90.00
_cell_angle_beta 109.06
_cell_angle_gamma 90.00
loop_
_atom_site_label
_atom_site_type_symbol
_atom_site_fract_x
_atom_site_fract_y
_atom_site_fract_z
Cr1 Cr 0.000 0.000 0.000
Sb1 Sb 0.253 0.000 0.868
Sb2 Sb 0.472 0.000 0.505
W1 W 0.218 0.500 0.347